Entry 1:
Entry from Alexandria via LeMat-Bulk: a geometry-optimized Mg2ZnTe structure (PBE).

Output
E_form (uncorrected) = -223 meV per atom
Final energy = -2.1238 eV per atom

Lattice parameters (Å, degrees): 6.6169 6.6169 6.6169 37.73 37.73 37.73
Last column: nearest neighbours and their distance in Å.
Element x y z (fractional)
Mg (0.2394, 0.2394, 0.2394)  3 Zn 2.81, 3 Te 3.02
Mg (0.7606, 0.7606, 0.7606)  3 Zn 2.81, 3 Te 3.02
Zn (0.5000, 0.5000, 0.5000)  6 Mg 2.81
Te (0.0000, 0.0000, 0.0000)  6 Mg 3.02

---

Entry 2:
Entry from Alexandria via LeMat-Bulk: a geometry-optimized RbAlS4 structure (PBE).

Output
E_form (uncorrected) = -764 meV per atom
Final energy = -4.3008 eV per atom

Lattice parameters (Å, degrees): 6.5291 7.6264 8.6001 76.50 77.09 68.42
Last column: nearest neighbours and their distance in Å.
Element x y z (fractional)
Rb (0.2271, 0.1672, 0.2940)  9 S 3.48-3.76
Rb (0.7729, 0.8328, 0.7060)  9 S 3.48-3.76
Al (0.3902, 0.4087, 0.6369)  4 S 2.24-2.29
Al (0.6098, 0.5913, 0.3631)  4 S 2.24-2.29
S (0.0594, 0.3500, 0.6888)  1 S 2.12, 1 Al 2.29
S (0.2213, 0.1312, 0.8670)  2 S 2.12
S (0.3725, 0.7153, 0.5761)  2 Al 2.24-2.26
S (0.4653, 0.2421, 0.8879)  1 S 2.12, 1 Al 2.29
S (0.5347, 0.7579, 0.1121)  1 S 2.12, 1 Al 2.29
S (0.6275, 0.2847, 0.4239)  2 Al 2.24-2.26
S (0.7787, 0.8688, 0.1330)  2 S 2.12
S (0.9406, 0.6500, 0.3112)  1 S 2.12, 1 Al 2.29

---

Entry 3:
Entry from Alexandria via LeMat-Bulk: a geometry-optimized H6WBr12 structure (PBE).

Output
Final energy = -3.0948 eV per atom

Lattice parameters (Å, degrees): 8.6406 8.6406 8.6406 97.13 97.13 97.13
Last column: nearest neighbours and their distance in Å.
Element x y z (fractional)
H (0.2108, 0.7048, 0.2765)  1 Br 1.45
H (0.2765, 0.2108, 0.7048)  1 Br 1.45
H (0.2952, 0.7235, 0.7892)  1 Br 1.45
H (0.7048, 0.2765, 0.2108)  1 Br 1.45
H (0.7235, 0.7892, 0.2952)  1 Br 1.45
H (0.7892, 0.2952, 0.7235)  1 Br 1.45
W (0.0000, 0.0000, 0.0000)  6 Br 2.48
Br (0.0546, 0.8672, 0.7450)  1 W 2.48, 1 H 2.56
Br (0.1328, 0.2550, 0.9454)  1 W 2.48, 1 H 2.56
Br (0.1710, 0.5704, 0.3556)  1 H 1.45
Br (0.2550, 0.9454, 0.1328)  1 W 2.48, 1 H 2.56
Br (0.3556, 0.1710, 0.5704)  1 H 1.45
Br (0.4296, 0.6444, 0.8290)  1 H 1.45
Br (0.5704, 0.3556, 0.1710)  1 H 1.45
Br (0.6444, 0.8290, 0.4296)  1 H 1.45
Br (0.7450, 0.0546, 0.8672)  1 W 2.48, 1 H 2.56
Br (0.8290, 0.4296, 0.6444)  1 H 1.45
Br (0.8672, 0.7450, 0.0546)  1 W 2.48, 1 H 2.56
Br (0.9454, 0.1328, 0.2550)  1 W 2.48, 1 H 2.56

---

Entry 4:
Entry from Alexandria via LeMat-Bulk: a geometry-optimized Tb2ScU2Ru5 structure (PBE).

Output
ΔH_f (0 K) = -0.28 eV/atom
Final energy = -8.7359 eV per atom

Lattice parameters (Å, degrees): 10.5868 10.5868 3.4821 90.00 90.00 90.00
Last column: nearest neighbours and their distance in Å.
Element x y z (fractional)
Tb (0.1720, 0.3280, 0.0000)  1 U 2.81, 2 Ru 3.11
Tb (0.3280, 0.8280, 0.0000)  1 U 2.81, 2 Ru 3.11
Tb (0.6720, 0.1720, 0.0000)  1 U 2.81, 2 Ru 3.11
Tb (0.8280, 0.6720, 0.0000)  1 U 2.81, 2 Ru 3.11
Sc (0.0000, 0.0000, 0.0000)  8 Ru 2.84
Sc (0.5000, 0.5000, 0.0000)  8 Ru 2.84
U (0.1403, 0.6403, 0.0000)  6 Ru 2.56-2.73, 1 Tb 2.81
U (0.3597, 0.1403, 0.0000)  6 Ru 2.56-2.73, 1 Tb 2.81
U (0.6403, 0.8597, 0.0000)  6 Ru 2.56-2.73, 1 Tb 2.81
U (0.8597, 0.3597, 0.0000)  6 Ru 2.56-2.73, 1 Tb 2.81
Ru (0.0000, 0.5000, 0.5000)  4 U 2.73
Ru (0.0521, 0.7945, 0.5000)  2 U 2.56, 2 Sc 2.84
Ru (0.2055, 0.0521, 0.5000)  2 U 2.56, 2 Sc 2.84
Ru (0.2945, 0.5521, 0.5000)  2 U 2.56, 2 Sc 2.84
Ru (0.4479, 0.2945, 0.5000)  2 U 2.56, 2 Sc 2.84
Ru (0.5000, 0.0000, 0.5000)  4 U 2.73
Ru (0.5521, 0.7055, 0.5000)  2 U 2.56, 2 Sc 2.84
Ru (0.7055, 0.4479, 0.5000)  2 U 2.56, 2 Sc 2.84
Ru (0.7945, 0.9479, 0.5000)  2 U 2.56, 2 Sc 2.84
Ru (0.9479, 0.2055, 0.5000)  2 U 2.56, 2 Sc 2.84

---

Repeat the fourth record exactly.
Entry from Alexandria via LeMat-Bulk: a geometry-optimized Tb2ScU2Ru5 structure (PBE).

Output
ΔH_f (0 K) = -0.28 eV/atom
Final energy = -8.7359 eV per atom

Lattice parameters (Å, degrees): 10.5868 10.5868 3.4821 90.00 90.00 90.00
Last column: nearest neighbours and their distance in Å.
Element x y z (fractional)
Tb (0.1720, 0.3280, 0.0000)  1 U 2.81, 2 Ru 3.11
Tb (0.3280, 0.8280, 0.0000)  1 U 2.81, 2 Ru 3.11
Tb (0.6720, 0.1720, 0.0000)  1 U 2.81, 2 Ru 3.11
Tb (0.8280, 0.6720, 0.0000)  1 U 2.81, 2 Ru 3.11
Sc (0.0000, 0.0000, 0.0000)  8 Ru 2.84
Sc (0.5000, 0.5000, 0.0000)  8 Ru 2.84
U (0.1403, 0.6403, 0.0000)  6 Ru 2.56-2.73, 1 Tb 2.81
U (0.3597, 0.1403, 0.0000)  6 Ru 2.56-2.73, 1 Tb 2.81
U (0.6403, 0.8597, 0.0000)  6 Ru 2.56-2.73, 1 Tb 2.81
U (0.8597, 0.3597, 0.0000)  6 Ru 2.56-2.73, 1 Tb 2.81
Ru (0.0000, 0.5000, 0.5000)  4 U 2.73
Ru (0.0521, 0.7945, 0.5000)  2 U 2.56, 2 Sc 2.84
Ru (0.2055, 0.0521, 0.5000)  2 U 2.56, 2 Sc 2.84
Ru (0.2945, 0.5521, 0.5000)  2 U 2.56, 2 Sc 2.84
Ru (0.4479, 0.2945, 0.5000)  2 U 2.56, 2 Sc 2.84
Ru (0.5000, 0.0000, 0.5000)  4 U 2.73
Ru (0.5521, 0.7055, 0.5000)  2 U 2.56, 2 Sc 2.84
Ru (0.7055, 0.4479, 0.5000)  2 U 2.56, 2 Sc 2.84
Ru (0.7945, 0.9479, 0.5000)  2 U 2.56, 2 Sc 2.84
Ru (0.9479, 0.2055, 0.5000)  2 U 2.56, 2 Sc 2.84

---

Q: Which value of final energy does entry 4 give?
A: -8.7359 eV per atom